1.
DFT (PBE) results for crystalline Re2BSbBr at its relaxed geometry.

Results
**ΔE_f (raw)**: 2.929 eV per atom
**Space-group type**: P4/mmm

a b c (Å): 5.045 5.788 5.045
angles (deg): 90.00 90.00 90.00
Each line ends with the local moment (μB).
Atoms (fractional coordinates):
Re: 0.000 0.000 0.500  2.21
B: 0.500 0.500 0.500  -0.11
Br: 0.000 0.500 0.000  0.09
Sb: 0.000 0.000 0.000  -0.08
Re: 0.500 0.000 0.000  2.12


2.
DFT (PBE) results for crystalline Ta2ReBBr at its relaxed geometry.

Results
**ΔE_f (raw)**: 0.761 eV per atom
**Space-group type**: P4/mmm

a b c (Å): 4.600 3.962 4.600
angles (deg): 90.00 90.00 90.00
Atoms (fractional coordinates):
Ta: 0.000 0.000 0.500
Br: 0.500 0.500 0.500
B: 0.000 0.000 0.000
Re: 0.000 0.500 0.000
Ta: 0.500 0.000 0.000


3.
DFT (PBE) results for crystalline BRhBr at its relaxed geometry.

Results
**ΔE_f (raw)**: -0.006 eV per atom
**Space-group type**: C2/m

a b c (Å): 3.263 6.657 6.880
angles (deg): 55.55 76.28 75.82
Atoms (fractional coordinates):
B: 0.743 0.446 0.067
Rh: 0.787 0.711 0.714
Br: 0.404 0.855 0.337
Rh: 0.213 0.289 0.286
Br: 0.596 0.145 0.663
B: 0.257 0.554 0.933


4.
DFT (PBE) results for crystalline BRhBr2 at its relaxed geometry.

Results
**ΔE_f (raw)**: 1.296 eV per atom
**Space-group type**: Fm-3m

a b c (Å): 4.721 4.721 4.721
angles (deg): 60.00 60.00 60.00
Each line ends with the local moment (μB).
Atoms (fractional coordinates):
Rh: 0.500 0.500 0.500  1.48
B: 0.000 0.000 0.000  0.02
Br: 0.750 0.750 0.750  0.19
Br: 0.250 0.250 0.250  0.19


5.
DFT (PBE) results for crystalline B2RhBr at its relaxed geometry.

Results
**ΔE_f (raw)**: 1.873 eV per atom
**Space-group type**: Fm-3m

a b c (Å): 4.101 4.101 4.101
angles (deg): 60.00 60.00 60.00
Atoms (fractional coordinates):
B: 0.750 0.750 0.750
Br: 0.000 0.000 0.000
B: 0.250 0.250 0.250
Rh: 0.500 0.500 0.500


6.
DFT (PBE) results for crystalline BRh3Br at its relaxed geometry.

Results
**ΔE_f (raw)**: 0.412 eV per atom
**Space-group type**: Pm-3m

a b c (Å): 4.206 4.206 4.206
angles (deg): 90.00 90.00 90.00
Each line ends with the local moment (μB).
Atoms (fractional coordinates):
Rh: 0.000 0.000 0.500  0.65
B: 0.000 0.000 0.000  -0.05
Rh: 0.000 0.500 0.000  0.82
Br: 0.500 0.500 0.500  0.17
Rh: 0.500 0.000 0.000  0.62


7.
DFT (PBE) results for crystalline BRh3Br at its relaxed geometry.

Results
**ΔE_f (raw)**: 1.900 eV per atom
**Space-group type**: Pm-3m

a b c (Å): 4.595 4.595 4.595
angles (deg): 90.00 90.00 90.00
Atoms (fractional coordinates):
Rh: 0.000 0.500 0.000
Rh: 0.000 0.000 0.500
Rh: 0.500 0.000 0.000
B: 0.500 0.500 0.500
Br: 0.000 0.000 0.000


8.
DFT (PBE) results for crystalline BRhBr2 at its relaxed geometry.

Results
**ΔE_f (raw)**: 1.090 eV per atom
**Space-group type**: I-42d

a b c (Å): 5.625 5.625 6.572
angles (deg): 64.66 64.66 90.00
Atoms (fractional coordinates):
B: 0.250 0.750 0.500
Br: 0.163 0.625 0.250
Br: 0.375 0.413 0.750
Rh: 0.000 0.000 0.000
B: 0.500 0.500 0.000
Rh: 0.750 0.250 0.500
Br: 0.587 0.125 0.250
Br: 0.875 0.837 0.750


9.
DFT (PBE) results for crystalline B2RhBr at its relaxed geometry.

Results
**ΔE_f (raw)**: 0.732 eV per atom
**Space-group type**: I-42d

a b c (Å): 5.126 5.126 6.238
angles (deg): 65.74 65.74 90.00
Atoms (fractional coordinates):
Rh: 0.750 0.250 0.500
B: 0.875 0.957 0.750
Rh: 0.000 0.000 0.000
Br: 0.250 0.750 0.500
Br: 0.500 0.500 0.000
B: 0.043 0.625 0.250
B: 0.707 0.125 0.250
B: 0.375 0.293 0.750


10.
DFT (PBE) results for crystalline BRh2Br at its relaxed geometry.

Results
**ΔE_f (raw)**: 0.928 eV per atom
**Space-group type**: Fm-3m

a b c (Å): 4.259 4.259 4.259
angles (deg): 60.00 60.00 60.00
Atoms (fractional coordinates):
Rh: 0.750 0.750 0.750
Br: 0.500 0.500 0.500
Rh: 0.250 0.250 0.250
B: 0.000 0.000 0.000


11.
DFT (PBE) results for crystalline BRhBr2 at its relaxed geometry.

Results
**ΔE_f (raw)**: 1.091 eV per atom
**Space-group type**: R-3m

a b c (Å): 7.960 7.960 7.960
angles (deg): 24.34 24.34 24.34
Each line ends with the local moment (μB).
Atoms (fractional coordinates):
Rh: 0.000 0.000 0.000  0.34
B: 0.500 0.500 0.500  0.04
Br: 0.897 0.897 0.897  0.02
Br: 0.103 0.103 0.103  0.02


12.
DFT (PBE) results for crystalline BRhBr3 at its relaxed geometry.

Results
**ΔE_f (raw)**: 0.980 eV per atom
**Space-group type**: Pm-3m

a b c (Å): 4.698 4.698 4.698
angles (deg): 90.00 90.00 90.00
Each line ends with the local moment (μB).
Atoms (fractional coordinates):
Br: 0.000 0.000 0.500  0.09
Br: 0.500 0.000 0.000  0.09
B: 0.000 0.000 0.000  0.03
Rh: 0.500 0.500 0.500  1.70
Br: 0.000 0.500 0.000  0.09


13.
DFT (PBE) results for crystalline BRh2Br at its relaxed geometry.

Results
**ΔE_f (raw)**: 0.224 eV per atom
**Space-group type**: I-42d

a b c (Å): 5.128 5.128 6.382
angles (deg): 66.32 66.32 90.00
Atoms (fractional coordinates):
Rh: 0.375 0.462 0.750
B: 0.500 0.500 0.000
B: 0.250 0.750 0.500
Rh: 0.875 0.788 0.750
Rh: 0.538 0.125 0.250
Rh: 0.212 0.625 0.250
Br: 0.000 0.000 0.000
Br: 0.750 0.250 0.500


14.
DFT (PBE) results for crystalline BSbRh2Br at its relaxed geometry.

Results
**ΔE_f (raw)**: 1.295 eV per atom
**Space-group type**: P4/mmm

a b c (Å): 5.029 4.257 5.029
angles (deg): 90.00 90.00 90.00
Atoms (fractional coordinates):
Sb: 0.000 0.000 0.000
Rh: 0.000 0.000 0.500
Br: 0.500 0.500 0.500
Rh: 0.500 0.000 0.000
B: 0.000 0.500 0.000